Version a
# LiHgSCl2

Crystalline LiHgSCl2 at its relaxed geometry (PBE, the Alexandria database).

Unit cell a=4.9926 b=5.0258 c=4.9926 alpha=90.00 beta=90.00 gamma=90.00
With the nearest neighbours (Å) after each atom.
Sites, in units of the cell vectors:
Cl: 0.0000 0.0000 0.5000  2 S 2.50
Cl: 0.5000 0.0000 0.0000  2 S 2.50
Li: 0.0000 0.5000 0.0000  2 S 2.51
S: 0.0000 0.0000 0.0000  4 Cl 2.50, 2 Li 2.51
Hg: 0.5000 0.5000 0.5000  4 Li 3.53, 8 Cl 3.54

Output
Total magnetic moment in μB/f.u.: 0.00

***

Version b
# LiHgSCl2

Crystalline LiHgSCl2 at its relaxed geometry (PBE, the Alexandria database).

Unit cell a=5.4015 b=4.9379 c=5.4015 alpha=90.00 beta=90.00 gamma=90.00
With the nearest neighbours (Å) after each atom.
Sites, in units of the cell vectors:
S: 0.0000 0.5000 0.0000  2 Hg 2.47
Cl: 0.0000 0.0000 0.5000  2 Hg 2.70
Cl: 0.5000 0.0000 0.0000  2 Hg 2.70
Li: 0.5000 0.5000 0.5000  8 Cl 3.66, 4 S 3.82
Hg: 0.0000 0.0000 0.0000  2 S 2.47, 4 Cl 2.70

Output
Total magnetic moment in μB/f.u.: 0.66

***

Version c
# LiHgSCl2

Crystalline LiHgSCl2 at its relaxed geometry (PBE, the Alexandria database).

Unit cell a=4.3665 b=4.3665 c=5.9568 alpha=90.00 beta=90.00 gamma=90.00
With the nearest neighbours (Å) after each atom.
Sites, in units of the cell vectors:
Hg: 0.5000 0.5000 0.5000  4 S 3.09
S: 0.0000 0.0000 0.5000  2 Li 2.98, 4 Hg 3.09
Cl: 0.0000 0.5000 0.0000  2 Li 2.18
Cl: 0.5000 0.0000 0.0000  2 Li 2.18
Li: 0.0000 0.0000 0.0000  4 Cl 2.18

Output
Total magnetic moment in μB/f.u.: 0.77

***

Relative energy table, unit meV/atom: version a 0; version b 15; version c 91